(1)
DFT (PBE) results for a geometry-optimized BaBiPt structure.

Structure (POSCAR):
```
BaBiPt
1.0
6.670 -2.306 0.000
6.670 2.306 0.000
-1.403 0.000 6.269
Ba Bi Pt
2 2 2
Direct
0.122 0.122 0.295
0.878 0.878 0.705
0.396 0.396 0.245
0.604 0.604 0.755
0.215 0.215 0.875
0.785 0.785 0.125
```

Values from the calculation:
The volume comes out at 193 Å³/cell. As for the space group: C2/m. As for the magnetic moment: 0.00 μB per atom. Its energy of formation from the pure elements is -740.6 meV/atom.



(2)
DFT (PBE) results for a geometry-optimized Ba3Bi4Pt4 structure.

Structure (POSCAR):
```
Ba3Bi4Pt4
1.0
4.924 0.000 0.000
0.019 4.952 0.000
2.377 1.734 13.642
Ba Bi Pt
3 4 4
Direct
0.000 0.000 0.000
0.158 0.654 0.696
0.842 0.346 0.304
0.300 0.849 0.406
0.425 0.465 0.115
0.575 0.535 0.885
0.700 0.151 0.594
0.241 0.322 0.506
0.408 0.933 0.201
0.592 0.067 0.799
0.759 0.678 0.494
```

Values from the calculation:
The polymorph energy (0 for the lowest one) is 2 meV per atom. The volume comes out at 333 Å³/cell. As for the space group: P-1. As for the magnetic moment: 0.00 μB per atom. Its energy of formation from the pure elements is -670.0 meV/atom.



(3)
DFT (PBE) results for a geometry-optimized BaBiPt structure.

Structure (POSCAR):
```
BaBiPt
1.0
-2.778 4.995 3.531
2.778 -4.995 3.531
2.778 4.995 -3.531
Ba Bi Pt
2 2 2
Direct
0.000 0.000 0.000
0.500 0.000 0.500
0.342 0.592 0.750
0.658 0.408 0.250
0.000 0.000 0.500
0.000 0.500 0.000
```

Values from the calculation:
The volume comes out at 196 Å³/cell. As for the space group: Imma. As for the magnetic moment: 0.00 μB per atom. Its energy of formation from the pure elements is -726.0 meV/atom.



(4)
DFT (PBE) results for a geometry-optimized BaBiPt10 structure.

Structure (POSCAR):
```
BaBiPt10
1.0
4.453 0.000 0.000
0.000 5.497 0.000
0.000 0.000 9.474
Ba Bi Pt
1 1 10
Direct
0.000 0.000 0.000
0.000 0.500 0.500
0.000 0.000 0.343
0.000 0.000 0.657
0.000 0.500 0.182
0.000 0.500 0.818
0.500 0.000 0.500
0.500 0.251 0.254
0.500 0.251 0.746
0.500 0.500 0.000
0.500 0.749 0.254
0.500 0.749 0.746
```

Values from the calculation:
The volume comes out at 232 Å³/cell. As for the space group: Pmmm. As for the magnetic moment: 0.00 μB per atom. Its energy of formation from the pure elements is -257.1 meV/atom.



(5)
DFT (PBE) results for a geometry-optimized BaBiPt2 structure.

Structure (POSCAR):
```
BaBiPt2
1.0
-2.668 2.668 9.200
2.668 -2.668 9.200
2.668 2.668 -9.200
Ba Bi Pt
2 2 4
Direct
0.000 0.000 0.000
0.750 0.250 0.500
0.250 0.750 0.500
0.500 0.500 0.000
0.345 0.625 0.220
0.375 0.595 0.720
0.405 0.125 0.780
0.875 0.655 0.280
```

Values from the calculation:
The volume comes out at 262 Å³/cell. As for the space group: I-42d. As for the magnetic moment: 0.00 μB per atom. Its energy of formation from the pure elements is -434.7 meV/atom.



(6)
DFT (PBE) results for a geometry-optimized Ba2BiPt2 structure.

Structure (POSCAR):
```
Ba2BiPt2
1.0
-1.969 1.969 10.057
1.969 -1.969 10.057
1.969 1.969 -10.057
Ba Bi Pt
2 1 2
Direct
0.124 0.124 0.000
0.876 0.876 0.000
0.500 0.500 0.000
0.250 0.750 0.500
0.750 0.250 0.500
```

Values from the calculation:
The polymorph energy (0 for the lowest one) is 179 meV per atom. The volume comes out at 156 Å³/cell. As for the space group: I4/mmm. As for the magnetic moment: 0.00 μB per atom. Its energy of formation from the pure elements is -586.4 meV/atom.



(7)
DFT (PBE) results for a geometry-optimized Ba2BiPt2 structure.

Structure (POSCAR):
```
Ba2BiPt2
1.0
5.482 -3.125 0.000
5.482 3.125 0.000
-2.236 0.000 8.610
Ba Bi Pt
4 2 4
Direct
0.001 0.294 0.148
0.294 0.001 0.648
0.706 0.999 0.352
0.999 0.706 0.852
0.361 0.639 0.250
0.639 0.361 0.750
0.219 0.492 0.513
0.492 0.219 0.013
0.508 0.781 0.987
0.781 0.508 0.487
```

Values from the calculation:
The polymorph energy (0 for the lowest one) is 16 meV per atom. The volume comes out at 295 Å³/cell. As for the space group: C2/c. As for the magnetic moment: 0.00 μB per atom. Its energy of formation from the pure elements is -750.2 meV/atom.



(8)
DFT (PBE) results for a geometry-optimized Ba8BiPt2 structure.

Structure (POSCAR):
```
Ba8BiPt2
1.0
10.695 0.000 0.000
-5.347 9.262 0.000
0.000 0.000 6.493
Ba Bi Pt
8 1 2
Direct
0.168 0.339 0.252
0.171 0.832 0.252
0.333 0.667 0.757
0.339 0.171 0.748
0.661 0.829 0.252
0.667 0.333 0.243
0.829 0.168 0.748
0.832 0.661 0.748
0.000 0.000 0.500
0.333 0.667 0.264
0.667 0.333 0.736
```

Values from the calculation:
The volume comes out at 643 Å³/cell. As for the space group: P-3. As for the magnetic moment: 0.02 μB per atom. Its energy of formation from the pure elements is -312.8 meV/atom.



(9)
DFT (PBE) results for a geometry-optimized BaBi12Pt6 structure.

Structure (POSCAR):
```
BaBi12Pt6
1.0
6.793 3.922 3.343
-6.793 3.922 3.343
0.000 -7.844 3.343
Ba Bi Pt
1 12 6
Direct
0.000 0.000 0.000
0.123 0.500 0.877
0.123 0.877 0.500
0.181 0.444 0.444
0.444 0.181 0.444
0.444 0.444 0.181
0.500 0.123 0.877
0.500 0.877 0.123
0.556 0.556 0.819
0.556 0.819 0.556
0.819 0.556 0.556
0.877 0.123 0.500
0.877 0.500 0.123
0.248 0.248 0.703
0.248 0.703 0.248
0.297 0.752 0.752
0.703 0.248 0.248
0.752 0.297 0.752
0.752 0.752 0.297
```

Values from the calculation:
The volume comes out at 534 Å³/cell. As for the space group: R-3m. As for the magnetic moment: 0.00 μB per atom. Its energy of formation from the pure elements is -207.7 meV/atom.



(10)
DFT (PBE) results for a geometry-optimized BaBi3Pt2 structure.

Structure (POSCAR):
```
BaBi3Pt2
1.0
8.382 -2.473 0.000
8.382 2.473 0.000
-4.730 0.000 8.551
Ba Bi Pt
2 6 4
Direct
0.138 0.138 0.065
0.862 0.862 0.935
0.042 0.042 0.348
0.283 0.283 0.617
0.376 0.376 0.217
0.624 0.624 0.783
0.717 0.717 0.383
0.958 0.958 0.652
0.136 0.136 0.677
0.476 0.476 0.842
0.524 0.524 0.158
0.864 0.864 0.323
```

Values from the calculation:
The volume comes out at 354 Å³/cell. As for the space group: C2/m. As for the magnetic moment: 0.00 μB per atom. Its energy of formation from the pure elements is -405.6 meV/atom.



(11)
DFT (PBE) results for a geometry-optimized Ba3BiPt structure.

Structure (POSCAR):
```
Ba3BiPt
1.0
5.042 0.000 0.000
0.000 7.815 0.000
0.000 0.000 10.531
Ba Bi Pt
6 2 2
Direct
0.250 0.012 0.150
0.250 0.250 0.572
0.250 0.488 0.150
0.750 0.512 0.850
0.750 0.750 0.428
0.750 0.988 0.850
0.250 0.750 0.659
0.750 0.250 0.341
0.250 0.250 0.894
0.750 0.750 0.106
```

Values from the calculation:
The polymorph energy (0 for the lowest one) is 0 meV per atom. The volume comes out at 415 Å³/cell. As for the space group: Pmmn. As for the magnetic moment: 0.00 μB per atom. Its energy of formation from the pure elements is -764.8 meV/atom.



(12)
DFT (PBE) results for a geometry-optimized Ba2BiPt2 structure.

Structure (POSCAR):
```
Ba2BiPt2
1.0
-3.168 3.168 4.072
3.168 -3.168 4.072
3.168 3.168 -4.072
Ba Bi Pt
2 1 2
Direct
0.250 0.750 0.500
0.750 0.250 0.500
0.000 0.000 0.000
0.343 0.343 0.000
0.657 0.657 0.000
```

Values from the calculation:
The polymorph energy (0 for the lowest one) is 147 meV per atom. The volume comes out at 164 Å³/cell. As for the space group: I4/mmm. As for the magnetic moment: 0.00 μB per atom. Its energy of formation from the pure elements is -619.1 meV/atom.



(13)
DFT (PBE) results for a geometry-optimized BaBiPt4 structure.

Structure (POSCAR):
```
BaBiPt4
1.0
0.000 3.966 3.966
3.966 0.000 3.966
3.966 3.966 0.000
Ba Bi Pt
1 1 4
Direct
0.000 0.000 0.000
0.750 0.750 0.750
0.376 0.376 0.376
0.376 0.376 0.873
0.376 0.873 0.376
0.873 0.376 0.376
```

Values from the calculation:
The volume comes out at 125 Å³/cell. As for the space group: F-43m. As for the magnetic moment: 0.00 μB per atom. Its energy of formation from the pure elements is -385.0 meV/atom.



(14)
DFT (PBE) results for a geometry-optimized Ba4Bi8Pt3 structure.

Structure (POSCAR):
```
Ba4Bi8Pt3
1.0
4.829 0.000 0.000
0.000 4.829 0.000
0.000 0.000 22.199
Ba Bi Pt
4 8 3
Direct
0.000 0.500 0.122
0.000 0.500 0.623
0.500 0.000 0.377
0.500 0.000 0.878
0.000 0.000 0.249
0.000 0.000 0.751
0.000 0.500 0.438
0.000 0.500 0.945
0.500 0.000 0.055
0.500 0.000 0.562
0.500 0.500 0.252
0.500 0.500 0.748
0.000 0.000 0.000
0.000 0.000 0.500
0.500 0.500 0.500
```

Values from the calculation:
The volume comes out at 518 Å³/cell. As for the space group: P-4m2. As for the magnetic moment: 0.00 μB per atom. Its energy of formation from the pure elements is -534.5 meV/atom.



(15)
DFT (PBE) results for a geometry-optimized BaBi3Pt3 structure.

Structure (POSCAR):
```
BaBi3Pt3
1.0
4.063 2.346 7.637
-4.063 2.346 7.637
0.000 -4.692 7.637
Ba Bi Pt
2 6 6
Direct
0.167 0.167 0.167
0.833 0.833 0.833
0.103 0.692 0.382
0.308 0.618 0.897
0.382 0.103 0.692
0.618 0.897 0.308
0.692 0.382 0.103
0.897 0.308 0.618
0.019 0.409 0.761
0.239 0.981 0.590
0.410 0.761 0.019
0.591 0.239 0.981
0.761 0.019 0.409
0.981 0.590 0.239
```

Values from the calculation:
The polymorph energy (0 for the lowest one) is 0 meV per atom. The volume comes out at 437 Å³/cell. As for the space group: R-3. As for the magnetic moment: 0.00 μB per atom. Its energy of formation from the pure elements is -315.2 meV/atom.



(16)
DFT (PBE) results for a geometry-optimized Ba4BiPt structure.

Structure (POSCAR):
```
Ba4BiPt
1.0
5.337 -7.649 0.000
5.337 7.649 0.000
-4.170 0.000 6.497
Ba Bi Pt
8 2 2
Direct
0.058 0.714 0.917
0.222 0.344 0.703
0.286 0.942 0.583
0.344 0.222 0.203
0.656 0.778 0.797
0.714 0.058 0.417
0.778 0.656 0.297
0.942 0.286 0.083
0.367 0.633 0.250
0.633 0.367 0.750
0.002 0.998 0.250
0.998 0.002 0.750
```

Values from the calculation:
The volume comes out at 530 Å³/cell. As for the space group: C2/c. As for the magnetic moment: 0.00 μB per atom. Its energy of formation from the pure elements is -618.5 meV/atom.



(17)
DFT (PBE) results for a geometry-optimized Ba3BiPt structure.

Structure (POSCAR):
```
Ba3BiPt
1.0
5.595 -8.010 0.000
5.595 8.010 0.000
0.000 0.000 4.787
Ba Bi Pt
6 2 2
Direct
0.165 0.835 0.000
0.187 0.427 0.500
0.427 0.187 0.500
0.573 0.813 0.500
0.813 0.573 0.500
0.835 0.165 0.000
0.000 0.000 0.500
0.500 0.500 0.000
0.000 0.500 0.000
0.500 0.000 0.000
```

Values from the calculation:
The polymorph energy (0 for the lowest one) is 34 meV per atom. The volume comes out at 429 Å³/cell. As for the space group: Cmmm. As for the magnetic moment: 0.00 μB per atom. Its energy of formation from the pure elements is -730.9 meV/atom.



(18)
DFT (PBE) results for a geometry-optimized Ba2Bi6Pt structure.

Structure (POSCAR):
```
Ba2Bi6Pt
1.0
6.309 -3.643 0.000
6.309 3.643 0.000
-0.001 0.000 6.502
Ba Bi Pt
2 6 1
Direct
0.168 0.168 0.292
0.832 0.832 0.708
0.154 0.674 0.211
0.326 0.846 0.789
0.327 0.327 0.789
0.673 0.673 0.211
0.674 0.154 0.211
0.846 0.326 0.789
0.500 0.500 0.500
```

Values from the calculation:
The volume comes out at 299 Å³/cell. As for the space group: C2/m. As for the magnetic moment: 0.00 μB per atom. Its energy of formation from the pure elements is -482.3 meV/atom.



(19)
DFT (PBE) results for a geometry-optimized Ba3Bi4Pt4 structure.

Structure (POSCAR):
```
Ba3Bi4Pt4
1.0
-2.447 2.483 13.622
2.447 -2.483 13.622
2.447 2.483 -13.622
Ba Bi Pt
3 4 4
Direct
0.000 0.000 0.000
0.142 0.642 0.500
0.858 0.358 0.500
0.250 0.250 0.000
0.403 0.903 0.500
0.597 0.097 0.500
0.750 0.750 0.000
0.302 0.802 0.500
0.450 0.450 0.000
0.550 0.550 0.000
0.698 0.198 0.500
```

Values from the calculation:
The polymorph energy (0 for the lowest one) is 0 meV per atom. The volume comes out at 331 Å³/cell. As for the space group: Immm. As for the magnetic moment: 0.00 μB per atom. Its energy of formation from the pure elements is -672.4 meV/atom.



(20)
DFT (PBE) results for a geometry-optimized RbBaBi2Pt structure.

Structure (POSCAR):
```
RbBaBi2Pt
1.0
6.531 0.000 0.000
0.000 6.531 0.000
0.000 0.000 5.697
Rb Ba Bi Pt
1 1 2 1
Direct
0.000 0.000 0.000
0.500 0.500 0.500
0.000 0.500 0.500
0.500 0.000 0.500
0.500 0.500 0.000
```

Values from the calculation:
The polymorph energy (0 for the lowest one) is 0 meV per atom. The volume comes out at 243 Å³/cell. As for the space group: P4/mmm. As for the magnetic moment: 0.00 μB per atom. Its energy of formation from the pure elements is 525.3 meV/atom.